Arrangement P

Compound: As2PSeBr
Source: Alexandria via LeMat-Bulk
Functional: PBE
Structure: optimized geometry

```
data_As2PSeBr
_cell_length_a 4.9270
_cell_length_b 4.9270
_cell_length_c 4.8137
_cell_angle_alpha 90.00
_cell_angle_beta 90.00
_cell_angle_gamma 90.00
_space_group_name_H-M_alt 'P 1'
_space_group_IT_number 1
loop_
_space_group_symop_operation_xyz
'x,y,z'
loop_
_atom_site_label
_atom_site_type_symbol
_atom_site_fract_x
_atom_site_fract_y
_atom_site_fract_z
_atom_site_occupancy
Br1 Br 0.5000 0.5000 0.5000 1
As1 As 0.0000 0.5000 0.0000 1
As2 As 0.5000 0.0000 0.0000 1
Se1 Se 0.0000 0.0000 0.5000 1
P1 P 0.0000 0.0000 0.0000 1
```

Summary:
* SG: P4/mmm, No. 123

Arrangement Q

Compound: As2PSeBr
Source: Alexandria via LeMat-Bulk
Functional: PBE
Structure: optimized geometry

```
data_As2PSeBr
_cell_length_a 5.2056
_cell_length_b 5.2056
_cell_length_c 4.9940
_cell_angle_alpha 90.00
_cell_angle_beta 90.00
_cell_angle_gamma 90.00
_space_group_name_H-M_alt 'P 1'
_space_group_IT_number 1
loop_
_space_group_symop_operation_xyz
'x,y,z'
loop_
_atom_site_label
_atom_site_type_symbol
_atom_site_fract_x
_atom_site_fract_y
_atom_site_fract_z
_atom_site_occupancy
P1 P 0.5000 0.5000 0.5000 1
Se1 Se 0.0000 0.0000 0.0000 1
As1 As 0.5000 0.0000 0.0000 1
As2 As 0.0000 0.5000 0.0000 1
Br1 Br 0.0000 0.0000 0.5000 1
```

Summary:
* SG: P4/mmm, No. 123

Quick look at relative energies in meV per atom: arrangement P 0; arrangement Q 467.

Arrangement P

Compound: SrAsPBr2
Source: Alexandria via LeMat-Bulk
Functional: PBE
Structure: optimized geometry

```
data_SrAsPBr2
_cell_length_a 5.7684
_cell_length_b 5.7684
_cell_length_c 7.3714
_cell_angle_alpha 90.00
_cell_angle_beta 90.00
_cell_angle_gamma 90.00
_space_group_name_H-M_alt 'P 1'
_space_group_IT_number 1
loop_
_space_group_symop_operation_xyz
'x,y,z'
loop_
_atom_site_label
_atom_site_type_symbol
_atom_site_fract_x
_atom_site_fract_y
_atom_site_fract_z
_atom_site_occupancy
Br1 Br 0.0000 0.5000 0.0000 1
Br2 Br 0.5000 0.0000 0.0000 1
As1 As 0.0000 0.0000 0.5000 1
Sr1 Sr 0.0000 0.0000 0.0000 1
P1 P 0.5000 0.5000 0.5000 1
```

Summary:
* SG: P4/mmm, No. 123

Arrangement Q

Compound: SrAsPBr2
Source: Alexandria via LeMat-Bulk
Functional: PBE
Structure: optimized geometry

```
data_SrAsPBr2
_cell_length_a 5.3062
_cell_length_b 5.3062
_cell_length_c 4.8875
_cell_angle_alpha 90.00
_cell_angle_beta 90.00
_cell_angle_gamma 90.00
_space_group_name_H-M_alt 'P 1'
_space_group_IT_number 1
loop_
_space_group_symop_operation_xyz
'x,y,z'
loop_
_atom_site_label
_atom_site_type_symbol
_atom_site_fract_x
_atom_site_fract_y
_atom_site_fract_z
_atom_site_occupancy
Sr1 Sr 0.5000 0.5000 0.5000 1
P1 P 0.0000 0.0000 0.0000 1
Br1 Br 0.5000 0.0000 0.0000 1
Br2 Br 0.0000 0.5000 0.0000 1
As1 As 0.0000 0.0000 0.5000 1
```

Summary:
* SG: P4/mmm, No. 123

Quick look at relative energies in meV per atom: arrangement P 554; arrangement Q 0.